# 1
IrRu2Pb | PBE | optimized geometry

Geometry as POSCAR:
```
IrRu2Pb
1.0
-3.903 2.657 -0.923
-1.014 -2.338 4.080
1.132 2.198 1.541
Ir Pb Ru
1 1 2
Direct
0.500 0.000 0.500
0.000 0.500 0.500
0.000 0.000 0.000
0.500 0.500 0.000
```

Summary:
Formation energy (kJ/mol of formula units): 210

# 2
NaLiCl | PBE | optimized geometry

Geometry as POSCAR:
```
NaLiCl
1.0
-2.366 -1.667 -2.809
-0.728 -3.967 0.054
-12.348 -1.750 5.658
Na Li Cl
2 2 2
Direct
0.470 0.470 0.263
0.288 0.288 0.042
0.598 0.598 0.569
0.152 0.152 0.739
0.282 0.282 0.544
0.468 0.468 0.764
```

Summary:
Formation energy (no corrections) (eV/atom): -1.14

# 3
CrAsRh2 | PBE | optimized geometry

Geometry as POSCAR:
```
CrAsRh2
1.0
5.319 0.000 0.000
0.000 5.319 0.000
2.659 2.659 5.627
Cr As Rh
2 2 4
Direct
0.500 0.500 0.000
0.250 0.750 0.500
0.000 0.000 0.000
0.750 0.250 0.500
0.614 0.125 0.250
0.136 0.625 0.250
0.375 0.386 0.750
0.875 0.864 0.750
```

Summary:
Formation energy (kJ/mol of formula units): 155

# 4
ZrHgRhN2 | PBE | optimized geometry

Geometry as POSCAR:
```
ZrHgRhN2
1.0
-3.816 -0.327 1.106
-0.160 -4.782 -1.968
1.146 -1.486 3.517
Rh Hg Zr N
1 1 1 2
Direct
0.000 0.000 0.000
0.000 0.500 0.000
0.500 0.500 0.500
0.000 0.000 0.500
0.500 0.000 0.000
```

Summary:
Formation energy (no corrections) (eV/atom): 1.17

# 5
ZrRu3C | PBE | optimized geometry

Geometry as POSCAR:
```
ZrRu3C
1.0
4.103 0.000 0.000
0.000 4.103 0.000
0.000 0.000 4.103
Ru C Zr
3 1 1
Direct
0.000 0.500 0.000
0.000 0.000 0.500
0.500 0.000 0.000
0.000 0.000 0.000
0.500 0.500 0.500
```

Summary:
Formation energy (kJ/mol of formula units): -157

# 6
RbNb3Cu | PBE | optimized geometry

Geometry as POSCAR:
```
RbNb3Cu
1.0
-2.205 4.078 -1.141
-2.899 -0.516 3.758
3.086 2.428 2.715
Nb Cu Rb
3 1 1
Direct
0.000 0.500 0.000
0.000 0.000 0.500
0.500 0.000 0.000
0.500 0.500 0.500
0.000 0.000 0.000
```

Summary:
Formation energy (kJ/mol of formula units): 1388

# 7
La2GaSi3Pd4 | PBE | optimized geometry

Geometry as POSCAR:
```
La2GaSi3Pd4
1.0
4.325 0.000 0.000
0.000 4.325 0.000
0.000 0.000 10.081
La Ga Si Pd
2 1 3 4
Direct
0.500 0.000 0.253
0.000 0.500 0.747
0.500 0.500 0.500
0.000 0.000 0.500
0.500 0.000 0.875
0.000 0.500 0.125
0.500 0.500 0.000
0.000 0.000 0.000
0.500 0.000 0.632
0.000 0.500 0.368
```

Summary:
Formation energy (no corrections) (eV/atom): -0.91

# 8
DyTmAgAu | PBE | optimized geometry

Geometry as POSCAR:
```
DyTmAgAu
1.0
3.574 0.000 0.000
0.000 3.574 0.000
0.000 0.000 7.254
Dy Tm Ag Au
1 1 1 1
Direct
0.500 0.500 0.602
0.500 0.500 0.112
0.000 0.000 0.865
0.000 0.000 0.349
```

Summary:
Formation energy (kJ/mol of formula units): -235

# 9
CsCd3 | PBE | optimized geometry

Geometry as POSCAR:
```
CsCd3
1.0
-2.223 -2.357 3.913
-4.305 -2.590 -0.708
1.463 -7.319 -0.281
Cs Cd
1 3
Direct
0.000 0.000 0.000
0.500 0.500 0.500
0.811 0.811 0.567
0.189 0.189 0.433
```

Summary:
Formation energy (kJ/mol of formula units): -27

# 10
TlCo3Pb | PBE | optimized geometry

Geometry as POSCAR:
```
TlCo3Pb
1.0
4.916 0.000 0.000
0.000 4.916 0.000
0.000 0.000 4.916
Pb Tl Co
1 1 3
Direct
0.000 0.000 0.000
0.500 0.500 0.500
0.000 0.500 0.000
0.000 0.000 0.500
0.500 0.000 0.000
```

Summary:
Formation energy (kJ/mol of formula units): 684

# 11
ZnTe2Pt | PBE | optimized geometry

Geometry as POSCAR:
```
ZnTe2Pt
1.0
-3.439 -2.100 0.257
0.034 -4.006 -0.501
-0.153 -2.837 6.436
Pt Te Zn
1 2 1
Direct
0.250 0.250 0.250
0.990 0.990 0.029
0.510 0.510 0.471
0.750 0.750 0.750
```

Summary:
Formation energy (no corrections) (eV/atom): -0.21

# 12
PmPaTe2 | PBE | optimized geometry

Geometry as POSCAR:
```
PmPaTe2
1.0
-4.768 2.237 -0.969
-2.209 -0.403 -4.862
-4.309 -3.094 -0.736
Pa Te Pm
1 2 1
Direct
0.000 0.000 0.000
0.250 0.250 0.250
0.750 0.750 0.750
0.500 0.500 0.500
```

Summary:
Formation energy (no corrections) (eV/atom): -0.91

What DOS(E_F) values result from the calculations? In sequence: 6.720 0.272 3.957 5.314 1.525 7.941 4.797 2.371 2.370 8.460 1.626 5.987 states/eV/f.u..